Compound: Nd2SmTmP4
Source: the Alexandria database
Functional: GGA-PBE
Structure: optimized geometry

Geometry as POSCAR:
```
Nd2SmTmP4
1.0
-1.4051 1.3860 -3.5961
5.4179 -3.1522 -3.3319
-5.4710 -4.5023 0.4025
Tm Nd Sm P
1 2 1 4
Direct
0.5000 0.5000 0.0000
0.0000 0.5000 0.5000
0.5000 0.0000 0.5000
0.0000 0.0000 0.0000
0.0000 0.2576 0.7599
0.0000 0.7424 0.2401
0.5000 0.2521 0.2431
0.5000 0.7479 0.7569
```

Calculated values
Its space-group type is P2/m, No. 10. For the total magnetization, the calculation gives 0.000 μB per atom. The energy of formation is -1.552 eV/atom.